Entry 1:
Below is a relaxed SrGaCo3 crystal, with properties calculated at the PBE level.

Unit cell a=4.732 b=4.732 c=4.732 alpha=90.00 beta=90.00 gamma=90.00
Element x y z (fractional)
Sr 0.000 0.000 0.000
Ga 0.500 0.500 0.500
Co 0.000 0.000 0.500
Co 0.000 0.500 0.000
Co 0.500 0.000 0.000

## Properties
The value obtained for the total energy is -3.122 eV per atom. As for the total magnetic moment: 0.71 μB/atom. As for the space-group type: Pm-3m. Its crystal system is cubic. As for the excess energy over the best structure of this formula in the dataset: 1485 meV/atom.

Entry 2:
Below is a relaxed Sr2Ga2Co crystal, with properties calculated at the PBE level.

Unit cell a=6.946 b=6.946 c=5.106 alpha=90.00 beta=90.00 gamma=90.00
Element x y z (fractional)
Sr 0.177 0.323 0.000
Sr 0.323 0.823 0.000
Sr 0.677 0.177 0.000
Sr 0.823 0.677 0.000
Ga 0.143 0.643 0.500
Ga 0.357 0.143 0.500
Ga 0.643 0.857 0.500
Ga 0.857 0.357 0.500
Co 0.000 0.000 0.500
Co 0.500 0.500 0.500

## Properties
The value obtained for the total energy is -3.283 eV per atom. As for the total magnetic moment: 0.19 μB/atom. As for the space-group type: P4/mbm. Its crystal system is tetragonal. As for the excess energy over the best structure of this formula in the dataset: 0 meV/atom.

Entry 3:
Below is a relaxed Sr2Ga2Co crystal, with properties calculated at the PBE level.

Unit cell a=9.907 b=9.907 c=9.907 alpha=158.18 beta=158.18 gamma=31.06
Element x y z (fractional)
Sr 0.094 0.094 0.000
Sr 0.906 0.906 0.000
Ga 0.250 0.750 0.500
Ga 0.750 0.250 0.500
Co 0.500 0.500 0.000

## Properties
The value obtained for the total energy is -3.116 eV per atom. As for the total magnetic moment: 0.13 μB/atom. As for the space-group type: I4/mmm. Its crystal system is tetragonal. As for the excess energy over the best structure of this formula in the dataset: 168 meV/atom.

Entry 4:
Below is a relaxed SrGa2Co crystal, with properties calculated at the PBE level.

Unit cell a=8.320 b=8.320 c=8.320 alpha=143.39 beta=143.39 gamma=52.75
Element x y z (fractional)
Sr 0.375 0.625 0.750
Sr 0.625 0.375 0.250
Ga 0.000 0.000 0.000
Ga 0.000 0.000 0.500
Ga 0.000 0.500 0.000
Ga 0.500 0.000 0.500
Co 0.125 0.875 0.250
Co 0.875 0.125 0.750

## Properties
The value obtained for the total energy is -3.848 eV per atom. As for the total magnetic moment: 0.00 μB/atom. As for the space-group type: I4_1/amd. Its crystal system is tetragonal.